Record 1
VASP calculation (PBE) on a relaxed structure of YNiTe.

The value obtained for the calculated total energy is -5.581 eV per atom. As for the raw formation energy: -452 meV per atom.

The structure belongs to space group I4mm (No. 107); the cell edges are 3.934, 3.934 and 8.735 Å and the angles 90.00°, 90.00° and 90.00°. The inequivalent atoms are Y at (0.000, 0.000, 0.000), Ni at (0.000, 0.000, 0.644) and Te at (0.000, 0.000, 0.344).

Record 2
VASP calculation (PBE) on a relaxed structure of SiRh2W.

The value obtained for the calculated total energy is -8.494 eV per atom. As for the raw formation energy: -224 meV per atom.

The structure belongs to space group R3m (No. 160, hexagonal axes); the cell edges are 2.8124, 2.8124 and 25.2956 Å and the angles 90.00°, 90.00° and 120.00°. The inequivalent atoms are Si at (0.0000, 0.0000, 0.0000), Rh at (0.0000, 0.0000, 0.4981), Rh at (0.0000, 0.0000, 0.7376) and W at (0.0000, 0.0000, 0.2476).

Record 3
VASP calculation (PBE) on a relaxed structure of Zn2AgF5.

The value obtained for the calculated total energy is -3.806 eV per atom. As for the raw formation energy: -1962 meV per atom.

The structure belongs to space group Cmcm (No. 63); the cell edges are 4.016, 10.677 and 10.284 Å and the angles 90.00°, 90.00° and 90.00°. The inequivalent atoms are Zn at (0.000, 0.141, 0.061), Ag at (0.000, 0.426, 0.250), F at (0.000, 0.045, 0.615), F at (0.000, 0.195, 0.250) and F at (0.000, 0.323, 0.532).

Record 4
VASP calculation (PBE) on a relaxed structure of CrTcIrRu.

The value obtained for the calculated total energy is -9.571 eV per atom.

The structure belongs to space group I-4m2 (No. 119); the cell edges are 3.793, 3.793 and 7.668 Å and the angles 90.00°, 90.00° and 90.00°. The inequivalent atoms are Cr at (0.000, 0.000, 0.000), Tc at (0.000, 0.500, 0.750), Ir at (0.000, 0.000, 0.500) and Ru at (0.000, 0.500, 0.250).

Record 5
VASP calculation (PBE) on a relaxed structure of ThTlPdPt.

The value obtained for the calculated total energy is -5.924 eV per atom.

The structure belongs to space group F-43m (No. 216); the cell edges are 7.041, 7.041 and 7.041 Å and the angles 90.00°, 90.00° and 90.00°. The inequivalent atoms are Th at (0.000, 0.000, 0.000), Tl at (0.000, 0.000, 0.500), Pd at (0.250, 0.250, 0.250) and Pt at (0.250, 0.250, 0.750).

Record 6
VASP calculation (PBE) on a relaxed structure of Ca2Cu3Sn5.

The value obtained for the calculated total energy is -3.902 eV per atom.

The structure belongs to space group Ibam (No. 72); the cell edges are 11.530, 12.674 and 6.367 Å and the angles 90.00°, 90.00° and 90.00°. The inequivalent atoms are Ca at (0.242, 0.138, 0.000), Cu at (0.000, 0.500, 0.250), Cu at (0.130, 0.131, 0.500), Sn at (0.000, 0.000, 0.250), Sn at (0.000, 0.255, 0.250) and Sn at (0.152, 0.402, 0.000).

Record 7
VASP calculation (PBE) on a relaxed structure of ZnAgBr2.

The value obtained for the calculated total energy is -1.896 eV per atom. As for the raw formation energy: -28 meV per atom. The calculation puts the polymorph energy (0 for the lowest one) at 0.218 eV per atom.

The structure belongs to space group P4/mmm (No. 123); the cell edges are 3.567, 3.567 and 7.181 Å and the angles 90.00°, 90.00° and 90.00°. The inequivalent atoms are Zn at (0.000, 0.000, 0.000), Ag at (0.000, 0.000, 0.500) and Br at (0.500, 0.500, 0.247).

Record 8
VASP calculation (PBE) on a relaxed structure of Tl2AgPt.

The value obtained for the calculated total energy is -3.342 eV per atom. The calculation puts the polymorph energy (0 for the lowest one) at 0.000 eV per atom.

The structure belongs to space group Pm (No. 6); the cell edges are 3.836, 4.326 and 5.675 Å and the angles 90.00°, 107.96° and 90.00°. The inequivalent atoms are Tl at (0.000, 0.000, 0.000), Tl at (0.304, 0.500, 0.594), Ag at (0.566, 0.500, 0.138) and Pt at (0.751, 0.000, 0.466).

Question: What is the calculated total energy in the third record?
Answer: -3.806 eV per atom

Question: Which of these has the lowest calculated total energy?
Answer: CrTcIrRu

Question: The highest calculated total energy belongs to which entry?
Answer: ZnAgBr2